No. 1
Computed, not measured: a relaxed TcICl crystal at the GGA-PBE level of DFT.

Cell: 5.8282 8.4358 5.8515 Å, 119.23 99.26 117.87°
Atoms (fractional coordinates):
Tc  0.4636  0.7760  0.1723
Tc  0.8432  0.9984  0.1723
I  0.6211  0.0317  0.7734
I  0.0199  0.4306  0.5712
Cl  0.5390  0.5292  0.1720
Cl  0.1766  0.9182  0.1725

Distance to the lowest polymorph of the same formula: 4.0 kJ/mol of atoms
SG: Cm (8)

***

No. 2
Computed, not measured: a relaxed Tc3ICl crystal at the GGA-PBE level of DFT.

Cell: 4.9845 4.9845 4.9845 Å, 90.00 90.00 90.00°
Atoms (fractional coordinates):
I  0.0000  0.0000  0.0000
Tc  0.0000  0.5000  0.0000
Tc  0.0000  0.0000  0.5000
Tc  0.5000  0.0000  0.0000
Cl  0.5000  0.5000  0.5000

Distance to the lowest polymorph of the same formula: 66.0 kJ/mol of atoms
SG: Pm-3m (221)

***

No. 3
Computed, not measured: a relaxed Tc3ICl crystal at the GGA-PBE level of DFT.

Cell: 4.4769 4.4769 4.4769 Å, 90.00 90.00 90.00°
Atoms (fractional coordinates):
I  0.5000  0.5000  0.5000
Tc  0.0000  0.5000  0.0000
Tc  0.0000  0.0000  0.5000
Tc  0.5000  0.0000  0.0000
Cl  0.0000  0.0000  0.0000

Distance to the lowest polymorph of the same formula: 0.0 kJ/mol of atoms
SG: Pm-3m (221)

***

No. 4
Computed, not measured: a relaxed TcICl3 crystal at the GGA-PBE level of DFT.

Cell: 4.9684 4.9684 4.9684 Å, 90.00 90.00 90.00°
Atoms (fractional coordinates):
I  0.5000  0.5000  0.5000
Tc  0.0000  0.0000  0.0000
Cl  0.0000  0.5000  0.0000
Cl  0.0000  0.0000  0.5000
Cl  0.5000  0.0000  0.0000

Distance to the lowest polymorph of the same formula: 51.5 kJ/mol of atoms
SG: Pm-3m (221)

***

No. 5
Computed, not measured: a relaxed Tc2I8Cl crystal at the GGA-PBE level of DFT.

Cell: 8.9127 10.3856 10.3856 Å, 49.56 49.41 49.41°
Atoms (fractional coordinates):
Tc  0.5902  0.2051  0.2051
Tc  0.4098  0.7949  0.7949
I  0.2708  0.5572  0.1723
I  0.7292  0.8277  0.4428
I  0.4218  0.1321  0.1321
I  0.5782  0.8679  0.8679
I  0.2708  0.1723  0.5572
I  0.7292  0.4428  0.8277
I  0.7992  0.2577  0.2577
I  0.2008  0.7423  0.7423
Cl  0.0000  0.0000  0.0000

SG: C2/m (12)

***

No. 6
Computed, not measured: a relaxed Tc2ICl crystal at the GGA-PBE level of DFT.

Cell: 4.5031 4.5031 8.6050 Å, 74.83 74.83 90.00°
Atoms (fractional coordinates):
I  0.0000  0.0000  0.0000
I  0.7500  0.2500  0.5000
Tc  0.5228  0.1250  0.2500
Tc  0.2272  0.6250  0.2500
Tc  0.3750  0.4772  0.7500
Tc  0.8750  0.7728  0.7500
Cl  0.5000  0.5000  0.0000
Cl  0.2500  0.7500  0.5000

Distance to the lowest polymorph of the same formula: 0.0 kJ/mol of atoms
SG: I-42d (122)

***

No. 7
Computed, not measured: a relaxed TcI3Cl crystal at the GGA-PBE level of DFT.

Cell: 6.9561 6.9634 7.7902 Å, 90.00 90.00 79.79°
Atoms (fractional coordinates):
Tc  0.9866  0.2158  0.5524
Tc  0.9791  0.2236  0.0524
I  0.2865  0.9160  0.5524
I  0.6792  0.5235  0.0524
I  0.1666  0.4031  0.8023
I  0.1667  0.4031  0.3024
I  0.7990  0.0363  0.3023
I  0.7990  0.0363  0.8024
Cl  0.2405  0.9621  0.0524
Cl  0.7251  0.4773  0.5524

Distance to the lowest polymorph of the same formula: 0.0 kJ/mol of atoms
SG: Cmcm (63)

***

No. 8
Computed, not measured: a relaxed TcI3Cl crystal at the GGA-PBE level of DFT.

Cell: 5.4465 5.4465 5.4465 Å, 90.00 90.00 90.00°
Atoms (fractional coordinates):
I  0.0000  0.5000  0.0000
I  0.0000  0.0000  0.5000
I  0.5000  0.0000  0.0000
Tc  0.0000  0.0000  0.0000
Cl  0.5000  0.5000  0.5000

Distance to the lowest polymorph of the same formula: 49.4 kJ/mol of atoms
SG: Pm-3m (221)

***

| no. | density of states at the Fermi level (states/eV/atom) | raw total energy (eV/atom) |
| --- | --- | --- |
| 1 | 0.1013 | -4.712 |
| 2 | 1.2438 | -4.728 |
| 3 | 1.2132 | -5.412 |
| 4 | 1.2474 | -3.473 |
| 5 | 0.5698 | -3.159 |
| 6 | 0.8020 | -5.310 |
| 7 | 0.4185 | -3.553 |
| 8 | 1.3535 | -3.041 |